First-principles (GGA-PBE) data for ZrBe2Te after structural relaxation, as listed in Alexandria via LeMat-Bulk.

Results
Space group = Cmmm (65)
Magnetic moment = 0.000 μB/f.u.
ΔE_f (raw) = 0.111 eV per atom

Cell and atoms, written as POSCAR:
```
ZrBe2Te
1.0
5.026 -0.003 -0.007
3.394 3.708 -0.007
0.008 0.003 4.124
Zr Be Te
1 2 1
direct
0.250 0.250 0.250
0.541 0.541 0.250
0.959 0.959 0.250
0.750 0.750 0.750
```

=====

First-principles (GGA-PBE) data for CoAg2Br after structural relaxation, as listed in Alexandria via LeMat-Bulk.

Results
Offset from the most stable computed form = 0.2203 eV/atom
Space group = C2/m (12)
Magnetic moment = 2.076 μB/f.u.
ΔE_f (raw) = 0.495 eV per atom

Cell and atoms, written as POSCAR:
```
CoAg2Br
1.0
4.368 -0.301 0.117
3.281 2.900 0.117
0.771 0.262 6.027
Ag Br Co
2 1 1
direct
0.984 0.984 0.057
0.516 0.516 0.443
0.750 0.750 0.750
0.250 0.250 0.250
```

=====

First-principles (GGA-PBE) data for ScTi2Tl after structural relaxation, as listed in Alexandria via LeMat-Bulk.

Results
Energy of formation = 0.0112 eV/atom
Space group = P4/mmm (123)
Magnetic moment = 0.002 μB/f.u.

Cell and atoms, written as POSCAR:
```
ScTi2Tl
1.0
4.337 0.000 0.000
0.000 4.265 0.000
0.000 0.000 4.265
Ti Tl Sc
2 1 1
direct
0.000 0.500 0.000
0.000 0.000 0.500
0.500 0.000 0.000
0.500 0.500 0.500
```

=====

First-principles (GGA-PBE) data for ZnSiSn2Rh after structural relaxation, as listed in Alexandria via LeMat-Bulk.

Results
Space group = P4/mmm (123)
Magnetic moment = 0.000 μB/f.u.
ΔE_f (raw) = 0.778 eV per atom

Cell and atoms, written as POSCAR:
```
ZnSiSn2Rh
1.0
-4.376 -0.973 -2.539
2.430 -3.560 -2.823
-1.047 -3.083 2.987
Si Sn Zn Rh
1 2 1 1
direct
0.000 0.000 0.000
0.000 0.500 0.000
0.500 0.000 0.000
0.000 0.000 0.500
0.500 0.500 0.500
```